Record 1
Computed, not measured: crystalline RbFe at its relaxed geometry at the PBE level of DFT.

Summary:
Energy above the most stable polymorph in this dataset in meV/atom: 43
Magnetic moment in μB per cell: 5.340
Crystal system: hexagonal

a = 5.651 Å, b = 5.651 Å, c = 4.505 Å
α = 90.00°, β = 90.00°, γ = 120.00°
Last column: magnetic moment on the atom in μB.
Positions (direct):
Fe  0.000  0.000  0.000  2.73
Fe  0.000  0.000  0.500  2.72
Rb  0.333  0.667  0.250  -0.02
Rb  0.667  0.333  0.750  -0.02

Record 2
Computed, not measured: crystalline RbFe at its relaxed geometry at the PBE level of DFT.

Summary:
Energy above the most stable polymorph in this dataset in meV/atom: 716
Magnetic moment in μB per cell: 6.002
Crystal system: hexagonal

a = 5.626 Å, b = 5.626 Å, c = 9.131 Å
α = 90.00°, β = 90.00°, γ = 120.00°
Last column: magnetic moment on the atom in μB.
Positions (direct):
Fe  0.333  0.667  0.500  2.96
Fe  0.000  0.000  0.999  2.96
Rb  0.000  0.000  0.376  0.00
Rb  0.333  0.667  0.876  0.00

Record 3
Computed, not measured: crystalline RbFe2 at its relaxed geometry at the PBE level of DFT.

Summary:
Energy above the most stable polymorph in this dataset in meV/atom: 672
Magnetic moment in μB per cell: 12.975
Crystal system: tetragonal

a = 5.769 Å, b = 5.769 Å, c = 6.453 Å
α = 90.00°, β = 90.00°, γ = 90.00°
Last column: magnetic moment on the atom in μB.
Positions (direct):
Fe  0.375  0.375  0.000  3.00
Fe  0.625  0.625  0.000  3.00
Fe  0.875  0.125  0.500  2.94
Fe  0.125  0.875  0.500  2.94
Rb  0.000  0.000  0.000  0.02
Rb  0.500  0.500  0.500  0.01

Record 4
Computed, not measured: crystalline RbFe8 at its relaxed geometry at the PBE level of DFT.

Summary:
Magnetic moment in μB per cell: 41.957
E_tot in eV/cell: -120.90
Crystal system: orthorhombic

a = 12.364 Å, b = 12.102 Å, c = 4.975 Å
α = 81.24°, β = 75.33°, γ = 23.43°
Last column: magnetic moment on the atom in μB.
Positions (direct):
Fe  0.735  0.667  0.024  2.65
Fe  0.515  0.583  0.226  2.65
Fe  0.895  0.354  0.314  2.61
Fe  0.437  0.314  0.354  2.48
Fe  0.936  0.813  0.355  2.48
Fe  0.354  0.895  0.437  2.62
Fe  0.226  0.677  0.515  2.62
Fe  0.667  0.735  0.573  2.65
Fe  0.677  0.226  0.583  2.61
Fe  0.573  0.024  0.667  2.61
Fe  0.583  0.515  0.677  2.65
Fe  0.024  0.573  0.735  2.62
Fe  0.896  0.355  0.813  2.62
Fe  0.314  0.437  0.895  2.48
Fe  0.813  0.936  0.896  2.48
Fe  0.355  0.896  0.936  2.61
Rb  0.000  0.000  0.000  0.02
Rb  0.250  0.250  0.250  0.02

Record 5
Computed, not measured: crystalline RbFe at its relaxed geometry at the PBE level of DFT.

Summary:
Energy above the most stable polymorph in this dataset in meV/atom: 0
Magnetic moment in μB per cell: 5.423
Crystal system: orthorhombic

a = 4.311 Å, b = 3.683 Å, c = 9.141 Å
α = 90.00°, β = 90.00°, γ = 90.00°
Last column: magnetic moment on the atom in μB.
Positions (direct):
Fe  0.250  0.000  0.039  2.78
Fe  0.750  0.000  0.961  2.78
Rb  0.750  0.500  0.284  -0.02
Rb  0.250  0.500  0.716  -0.02

Record 6
Computed, not measured: crystalline RbFe at its relaxed geometry at the PBE level of DFT.

Summary:
Energy above the most stable polymorph in this dataset in meV/atom: 720
Magnetic moment in μB per cell: 3.006
Crystal system: cubic

a = 5.639 Å, b = 5.639 Å, c = 5.639 Å
α = 60.00°, β = 60.00°, γ = 60.00°
Last column: magnetic moment on the atom in μB.
Positions (direct):
Fe  0.000  0.000  0.000  2.95
Rb  0.250  0.250  0.250  0.00